Entry 1:
The following is a DFT calculation (GGA-PBE) of crystalline Li2Zn3GaPd2 at its relaxed geometry.

mass density = 7.198 g cm⁻³
uncorrected energy = -3.1140 eV/atom
SG = P-4m2, No. 115

Lattice parameters (Å, degrees): 4.321 4.321 6.086 90.00 90.00 90.00
Atoms (fractional coordinates):
Li  0.000  0.500  0.248
Li  0.500  0.000  0.752
Zn  0.000  0.000  0.000
Zn  0.500  0.500  0.000
Zn  0.500  0.500  0.500
Ga  0.000  0.000  0.500
Pd  0.000  0.500  0.744
Pd  0.500  0.000  0.256

=====

Entry 2:
The following is a DFT calculation (GGA-PBE) of crystalline Li4ZnGa2Pd at its relaxed geometry.

mass density = 4.971 g cm⁻³
uncorrected energy = -2.9386 eV/atom
SG = P-4m2, No. 115

Lattice parameters (Å, degrees): 4.299 4.299 6.129 90.00 90.00 90.00
Atoms (fractional coordinates):
Li  0.000  0.000  0.000
Li  0.000  0.500  0.748
Li  0.500  0.000  0.252
Li  0.500  0.500  0.500
Zn  0.500  0.500  0.000
Ga  0.000  0.500  0.258
Ga  0.500  0.000  0.742
Pd  0.000  0.000  0.500